Below is crystalline TeCl2 at its relaxed geometry, with properties calculated at the GGA-PBE level.

Geometry as POSCAR:
```
TeCl2
1.0
-2.589 2.589 7.995
2.589 -2.589 7.995
2.589 2.589 -7.995
Te Cl
2 4
Cartesian
2.589 1.294 1.999 Te
0.000 1.294 5.996 Te
2.589 1.294 -3.955 Cl
0.000 1.294 0.042 Cl
2.589 1.294 7.953 Cl
0.000 1.294 11.950 Cl
```

- Magnetic moment: 0.99 μB/atom
- Formation energy without anion corrections: 0.57 eV per atom
- DOS at the Fermi energy: 1.22 states/eV per cell